# 1
The following is a PBE calculation of CaGa2Sb2 after structural relaxation, from Alexandria via LeMat-Bulk.

Calculated values
The formation energy (no corrections) is -192 meV/atom. The magnetic moment is 0.000 μB per formula unit.

a = 8.101 Å, b = 8.101 Å, c = 4.023 Å
α = 90.00°, β = 90.00°, γ = 90.00°
Atoms (fractional coordinates):
Ca: 0.000 0.000 0.000
Ca: 0.500 0.500 0.000
Ga: 0.153 0.347 0.500
Ga: 0.347 0.847 0.500
Ga: 0.653 0.153 0.500
Ga: 0.847 0.653 0.500
Sb: 0.133 0.633 0.000
Sb: 0.367 0.133 0.000
Sb: 0.633 0.867 0.000
Sb: 0.867 0.367 0.000


# 2
The following is a PBE calculation of CaGa3Sb after structural relaxation, from Alexandria via LeMat-Bulk.

Calculated values
The formation energy (no corrections) is 699 meV/atom. The magnetic moment is 0.000 μB per formula unit.

a = 5.494 Å, b = 5.494 Å, c = 5.494 Å
α = 90.00°, β = 90.00°, γ = 90.00°
Atoms (fractional coordinates):
Ca: 0.000 0.000 0.000
Ga: 0.000 0.000 0.500
Ga: 0.000 0.500 0.000
Ga: 0.500 0.000 0.000
Sb: 0.500 0.500 0.500


# 3
The following is a PBE calculation of Ca3GaSb3 after structural relaxation, from Alexandria via LeMat-Bulk.

Calculated values
The formation energy (no corrections) is -802 meV/atom. The magnetic moment is 0.000 μB per formula unit.

a = 10.511 Å, b = 10.511 Å, c = 12.996 Å
α = 90.00°, β = 90.00°, γ = 36.87°
Atoms (fractional coordinates):
Ca: 0.028 0.617 0.126
Ca: 0.117 0.528 0.626
Ca: 0.198 0.802 0.860
Ca: 0.302 0.698 0.360
Ca: 0.383 0.972 0.126
Ca: 0.472 0.883 0.626
Ca: 0.528 0.117 0.374
Ca: 0.617 0.028 0.874
Ca: 0.698 0.302 0.640
Ca: 0.802 0.198 0.140
Ca: 0.883 0.472 0.374
Ca: 0.972 0.383 0.874
Ga: 0.089 0.089 0.500
Ga: 0.411 0.411 0.000
Ga: 0.589 0.589 0.000
Ga: 0.911 0.911 0.500
Sb: 0.065 0.610 0.371
Sb: 0.110 0.565 0.871
Sb: 0.218 0.782 0.615
Sb: 0.282 0.718 0.115
Sb: 0.390 0.935 0.371
Sb: 0.435 0.890 0.871
Sb: 0.565 0.110 0.129
Sb: 0.610 0.065 0.629
Sb: 0.718 0.282 0.885
Sb: 0.782 0.218 0.385
Sb: 0.890 0.435 0.129
Sb: 0.935 0.390 0.629


# 4
The following is a PBE calculation of Ca2GaSb after structural relaxation, from Alexandria via LeMat-Bulk.

Calculated values
The formation energy (no corrections) is -654 meV/atom. The magnetic moment is 0.000 μB per formula unit.

a = 4.997 Å, b = 4.997 Å, c = 4.295 Å
α = 90.00°, β = 90.00°, γ = 90.00°
Atoms (fractional coordinates):
Ca: 0.000 0.500 0.000
Ca: 0.500 0.000 0.000
Ga: 0.000 0.000 0.500
Sb: 0.500 0.500 0.500


# 5
The following is a PBE calculation of CaGaSb3 after structural relaxation, from Alexandria via LeMat-Bulk.

Calculated values
The formation energy (no corrections) is 548 meV/atom. The magnetic moment is 0.000 μB per formula unit.

a = 5.739 Å, b = 5.739 Å, c = 5.739 Å
α = 90.00°, β = 90.00°, γ = 90.00°
Atoms (fractional coordinates):
Ca: 0.000 0.000 0.000
Ga: 0.500 0.500 0.500
Sb: 0.000 0.000 0.500
Sb: 0.000 0.500 0.000
Sb: 0.500 0.000 0.000


# 6
The following is a PBE calculation of Ca2Ga2Sb after structural relaxation, from Alexandria via LeMat-Bulk.

Calculated values
The formation energy (no corrections) is -526 meV/atom. The magnetic moment is 0.000 μB per formula unit.

a = 7.457 Å, b = 7.457 Å, c = 4.579 Å
α = 90.00°, β = 90.00°, γ = 90.00°
Atoms (fractional coordinates):
Ca: 0.175 0.325 0.000
Ca: 0.325 0.825 0.000
Ca: 0.675 0.175 0.000
Ca: 0.825 0.675 0.000
Ga: 0.122 0.622 0.500
Ga: 0.378 0.122 0.500
Ga: 0.622 0.878 0.500
Ga: 0.878 0.378 0.500
Sb: 0.000 0.000 0.500
Sb: 0.500 0.500 0.500


# 7
The following is a PBE calculation of CaGa2Sb2 after structural relaxation, from Alexandria via LeMat-Bulk.

Calculated values
The formation energy (no corrections) is -266 meV/atom. The magnetic moment is 0.000 μB per formula unit.

a = 7.979 Å, b = 7.979 Å, c = 3.875 Å
α = 90.00°, β = 90.00°, γ = 90.00°
Atoms (fractional coordinates):
Ca: 0.000 0.000 0.000
Ca: 0.500 0.500 0.000
Ga: 0.122 0.378 0.000
Ga: 0.378 0.878 0.000
Ga: 0.622 0.122 0.000
Ga: 0.878 0.622 0.000
Sb: 0.170 0.670 0.500
Sb: 0.330 0.170 0.500
Sb: 0.670 0.830 0.500
Sb: 0.830 0.330 0.500


# 8
The following is a PBE calculation of Ca2GaSb after structural relaxation, from Alexandria via LeMat-Bulk.

Calculated values
The formation energy (no corrections) is -596 meV/atom. The magnetic moment is 0.000 μB per formula unit.

a = 5.359 Å, b = 5.359 Å, c = 5.359 Å
α = 60.00°, β = 60.00°, γ = 60.00°
Atoms (fractional coordinates):
Ca: 0.250 0.250 0.250
Ca: 0.750 0.750 0.750
Ga: 0.000 0.000 0.000
Sb: 0.500 0.500 0.500


# 9
The following is a PBE calculation of Ca3GaSb after structural relaxation, from Alexandria via LeMat-Bulk.

Calculated values
The formation energy (no corrections) is -624 meV/atom. The magnetic moment is 0.000 μB per formula unit.

a = 4.344 Å, b = 8.480 Å, c = 8.791 Å
α = 95.23°, β = 90.01°, γ = 104.83°
Atoms (fractional coordinates):
Ca: 0.050 0.100 0.177
Ca: 0.241 0.481 0.815
Ca: 0.394 0.786 0.433
Ca: 0.606 0.214 0.567
Ca: 0.759 0.519 0.185
Ca: 0.950 0.900 0.823
Ga: 0.209 0.419 0.433
Ga: 0.791 0.581 0.567
Sb: 0.393 0.785 0.075
Sb: 0.607 0.215 0.925


# 10
The following is a PBE calculation of Ca2Ga2Sb after structural relaxation, from Alexandria via LeMat-Bulk.

Calculated values
The formation energy (no corrections) is -483 meV/atom. The magnetic moment is 0.000 μB per formula unit.

a = 9.548 Å, b = 9.548 Å, c = 9.548 Å
α = 156.89°, β = 156.89°, γ = 32.91°
Atoms (fractional coordinates):
Ca: 0.102 0.102 0.000
Ca: 0.898 0.898 0.000
Ga: 0.250 0.750 0.500
Ga: 0.750 0.250 0.500
Sb: 0.500 0.500 0.000


# 11
The following is a PBE calculation of Ca2Ga2Sb after structural relaxation, from Alexandria via LeMat-Bulk.

Calculated values
The formation energy (no corrections) is -132 meV/atom. The magnetic moment is 0.000 μB per formula unit.

a = 6.837 Å, b = 6.837 Å, c = 6.837 Å
α = 137.89°, β = 137.89°, γ = 61.08°
Atoms (fractional coordinates):
Ca: 0.250 0.750 0.500
Ca: 0.750 0.250 0.500
Ga: 0.098 0.098 0.000
Ga: 0.902 0.902 0.000
Sb: 0.500 0.500 0.000


# 12
The following is a PBE calculation of Ca5Ga2Sb6 after structural relaxation, from Alexandria via LeMat-Bulk.

Calculated values
The formation energy (no corrections) is -760 meV/atom. The magnetic moment is 0.000 μB per formula unit.

a = 12.153 Å, b = 14.115 Å, c = 4.492 Å
α = 90.00°, β = 90.00°, γ = 90.00°
Atoms (fractional coordinates):
Ca: 0.000 0.000 0.000
Ca: 0.092 0.247 0.000
Ca: 0.172 0.517 0.000
Ca: 0.328 0.017 0.000
Ca: 0.408 0.747 0.000
Ca: 0.500 0.500 0.000
Ca: 0.592 0.253 0.000
Ca: 0.672 0.983 0.000
Ca: 0.828 0.483 0.000
Ca: 0.908 0.753 0.000
Ga: 0.170 0.712 0.500
Ga: 0.330 0.212 0.500
Ga: 0.670 0.788 0.500
Ga: 0.830 0.288 0.500
Sb: 0.026 0.400 0.500
Sb: 0.155 0.092 0.500
Sb: 0.163 0.823 0.000
Sb: 0.337 0.323 0.000
Sb: 0.345 0.592 0.500
Sb: 0.474 0.900 0.500
Sb: 0.526 0.100 0.500
Sb: 0.655 0.408 0.500
Sb: 0.663 0.677 0.000
Sb: 0.837 0.177 0.000
Sb: 0.845 0.908 0.500
Sb: 0.974 0.600 0.500


# 13
The following is a PBE calculation of Ca2GaSbSe5 after structural relaxation, from Alexandria via LeMat-Bulk.

Calculated values
The formation energy (no corrections) is -1097 meV/atom. The magnetic moment is 0.000 μB per formula unit.

a = 9.337 Å, b = 9.337 Å, c = 12.625 Å
α = 90.00°, β = 90.00°, γ = 155.10°
Atoms (fractional coordinates):
Ca: 0.112 0.888 0.500
Ca: 0.124 0.876 0.144
Ca: 0.876 0.124 0.644
Ca: 0.888 0.112 0.000
Ga: 0.444 0.556 0.251
Ga: 0.556 0.444 0.751
Sb: 0.209 0.791 0.849
Sb: 0.791 0.209 0.349
Se: 0.038 0.962 0.863
Se: 0.282 0.718 0.505
Se: 0.318 0.682 0.180
Se: 0.356 0.644 0.825
Se: 0.493 0.507 0.586
Se: 0.507 0.493 0.086
Se: 0.644 0.356 0.325
Se: 0.682 0.318 0.680
Se: 0.718 0.282 0.005
Se: 0.962 0.038 0.363


# 14
The following is a PBE calculation of Ca2GaTcSb after structural relaxation, from Alexandria via LeMat-Bulk.

Calculated values
The formation energy (no corrections) is 262 meV/atom. The magnetic moment is 2.192 μB per formula unit.

a = 5.464 Å, b = 5.464 Å, c = 4.851 Å
α = 90.00°, β = 90.00°, γ = 90.00°
Atoms (fractional coordinates):
Ca: 0.000 0.500 0.000
Ca: 0.500 0.000 0.000
Ga: 0.000 0.000 0.500
Tc: 0.000 0.000 0.000
Sb: 0.500 0.500 0.500


# 15
The following is a PBE calculation of CaGaSb2Te after structural relaxation, from Alexandria via LeMat-Bulk.

Calculated values
The formation energy (no corrections) is -4 meV/atom. The magnetic moment is 0.000 μB per formula unit.

a = 5.311 Å, b = 5.311 Å, c = 5.616 Å
α = 90.00°, β = 90.00°, γ = 90.00°
Atoms (fractional coordinates):
Ca: 0.000 0.000 0.000
Ga: 0.500 0.500 0.500
Sb: 0.000 0.500 0.500
Sb: 0.500 0.000 0.500
Te: 0.500 0.500 0.000


# 16
The following is a PBE calculation of CaGaSb2Te after structural relaxation, from Alexandria via LeMat-Bulk.

Calculated values
The formation energy (no corrections) is 386 meV/atom. The magnetic moment is 0.000 μB per formula unit.

a = 5.795 Å, b = 5.795 Å, c = 5.793 Å
α = 90.00°, β = 90.00°, γ = 90.00°
Atoms (fractional coordinates):
Ca: 0.000 0.000 0.000
Ga: 0.500 0.500 0.500
Sb: 0.000 0.500 0.000
Sb: 0.500 0.000 0.000
Te: 0.000 0.000 0.500


# 17
The following is a PBE calculation of CaTl2GaSb2 after structural relaxation, from Alexandria via LeMat-Bulk.

Calculated values
The formation energy (no corrections) is -312 meV/atom. The magnetic moment is 0.000 μB per formula unit.

a = 4.531 Å, b = 10.495 Å, c = 7.563 Å
α = 90.00°, β = 90.00°, γ = 90.00°
Atoms (fractional coordinates):
Ca: 0.000 0.070 0.000
Ca: 0.000 0.930 0.500
Tl: 0.000 0.331 0.319
Tl: 0.000 0.669 0.819
Tl: 0.500 0.459 0.037
Tl: 0.500 0.541 0.537
Ga: 0.500 0.165 0.665
Ga: 0.500 0.835 0.165
Sb: 0.000 0.314 0.744
Sb: 0.000 0.686 0.244
Sb: 0.500 0.093 0.297
Sb: 0.500 0.907 0.797


# 18
The following is a PBE calculation of CaGaSb2W after structural relaxation, from Alexandria via LeMat-Bulk.

Calculated values
The formation energy (no corrections) is 159 meV/atom. The magnetic moment is 0.000 μB per formula unit.

a = 5.335 Å, b = 5.335 Å, c = 4.947 Å
α = 90.00°, β = 90.00°, γ = 90.00°
Atoms (fractional coordinates):
Ca: 0.000 0.000 0.000
Ga: 0.500 0.500 0.000
Sb: 0.000 0.500 0.500
Sb: 0.500 0.000 0.500
W: 0.500 0.500 0.500


# 19
The following is a PBE calculation of Ca2ZrGaSb after structural relaxation, from Alexandria via LeMat-Bulk.

Calculated values
The formation energy (no corrections) is 528 meV/atom. The magnetic moment is 3.000 μB per formula unit.

a = 5.842 Å, b = 5.842 Å, c = 5.226 Å
α = 90.00°, β = 90.00°, γ = 90.00°
Atoms (fractional coordinates):
Ca: 0.000 0.500 0.000
Ca: 0.500 0.000 0.000
Zr: 0.000 0.000 0.500
Ga: 0.500 0.500 0.500
Sb: 0.500 0.500 0.000


# 20
The following is a PBE calculation of CaScGa after structural relaxation, from Alexandria via LeMat-Bulk.

Calculated values
The calculation puts the formation energy at -0.309 eV/atom. The magnetic moment is 0.000 μB per formula unit.

a = 6.983 Å, b = 6.983 Å, c = 6.799 Å
α = 103.67°, β = 103.67°, γ = 27.66°
Atoms (fractional coordinates):
Ca: 0.134 0.134 0.067
Ca: 0.866 0.866 0.933
Sc: 0.152 0.152 0.567
Sc: 0.848 0.848 0.433
Ga: 0.498 0.498 0.302
Ga: 0.502 0.502 0.698